# 1
Crystalline KCaV at its relaxed geometry. Source: Alexandria, functional PBE.

abc: 5.782 5.782 8.335
angles: 90.00 90.00 120.00
Positions (direct):
Ca 0.333 0.667 0.291
Ca 0.333 0.667 0.709
K 0.667 0.333 0.500
K 0.667 0.333 0.000
V 0.000 0.000 0.391
V 0.000 0.000 0.609

## Properties
E_form   19.78 kcal/mol of atoms
Total moment   0.00 μB per formula unit
Space-group type   P-6m2, No. 187
Calculated volume   40.2 Å³/atom

=====

# 2
Crystalline KCaV at its relaxed geometry. Source: Alexandria, functional PBE.

abc: 3.468 9.896 7.218
angles: 98.19 84.66 78.24
Positions (direct):
Ca 0.394 0.092 0.957
Ca 0.579 0.806 0.530
V 0.997 0.080 0.565
V 0.830 0.036 0.332
K 0.269 0.386 0.461
K 0.208 0.673 0.009

## Properties
E_form   14.97 kcal/mol of atoms
Total moment   0.00 μB per formula unit
Space-group type   P1, No. 1
Calculated volume   39.7 Å³/atom

=====

# 3
Crystalline KCaV at its relaxed geometry. Source: Alexandria, functional PBE.

abc: 5.128 5.128 9.383
angles: 90.00 90.00 90.00
Site moments in Bohr magnetons follow the coordinates.
Positions (direct):
Ca 0.500 0.500 0.500  0.18
Ca 0.000 0.000 0.500  0.18
K 0.000 0.500 0.141  0.02
K 0.500 0.000 0.859  0.02
V 0.500 0.000 0.282  3.19
V 0.000 0.500 0.718  3.19

## Properties
E_form   21.82 kcal/mol of atoms
Total moment   4.97 μB per formula unit
Space-group type   P4/nmm, No. 129
Calculated volume   41.1 Å³/atom

=====

# 4
Crystalline KCaV at its relaxed geometry. Source: Alexandria, functional PBE.

abc: 9.802 7.431 6.011
angles: 90.00 90.00 90.00
Site moments in Bohr magnetons follow the coordinates.
Positions (direct):
K 0.656 0.250 0.000  0.04
K 0.844 0.750 0.500  0.04
K 0.156 0.250 0.500  0.04
K 0.344 0.750 0.000  0.04
Ca 0.500 0.000 0.500  0.09
Ca 0.500 0.500 0.500  0.09
Ca 0.000 0.500 0.000  0.09
Ca 0.000 0.000 0.000  0.09
V 0.811 0.250 0.500  3.13
V 0.689 0.750 0.000  3.13
V 0.311 0.250 0.000  3.13
V 0.189 0.750 0.500  3.13

## Properties
E_form   24.20 kcal/mol of atoms
Total moment   4.71 μB per formula unit
Space-group type   Cmcm, No. 63
Calculated volume   36.5 Å³/atom